The following is a PBE calculation of ZrScP2 after structural relaxation, from the Alexandria database.

As for the energy above the most stable polymorph in this dataset: 452 meV per atom. The magnetic moment is 0.000 μB per formula unit. For the final energy, the calculation gives -59.27 eV for the cell shown. For the formation energy, the calculation gives -0.98 eV/atom. The theoretical density is 4.57 Mg/m³.

POSCAR file:
```
ZrScP2
1.0
3.9355 0.0000 0.0000
0.0000 5.2357 0.0000
0.0000 0.0000 6.9916
Zr Sc P
2 2 4
Direct
0.0000 0.0000 0.0000
0.5000 0.5000 0.0000
0.0000 0.0000 0.5000
0.5000 0.5000 0.5000
0.0000 0.5000 0.2526
0.0000 0.5000 0.7474
0.5000 0.0000 0.2526
0.5000 0.0000 0.7474
```